Entry 1:
An optimized crystal structure of Mg2VCo. Source: Alexandria, functional PBE.

Lattice parameters (Å, degrees): 4.5051 4.5051 4.5051 60.00 60.00 60.00
Sites, in units of the cell vectors:
Mg 0.2500 0.2500 0.2500
Mg 0.7500 0.7500 0.7500
V 0.0000 0.0000 0.0000
Co 0.5000 0.5000 0.5000

Values from the calculation:
DOS(E_F)	7.0	states/eV/cell
size of the total moment	3.977	μB per formula unit
space group	Fm-3m, No. 225
relative energy among the computed polymorphs	0	meV per atom
formation energy	10.5	kcal/mol of atoms


Entry 2:
An optimized crystal structure of Mg2Co2W. Source: Alexandria, functional PBE.

Lattice parameters (Å, degrees): 6.0483 6.0483 4.2374 90.00 90.00 90.00
Sites, in units of the cell vectors:
Mg 0.1781 0.3219 0.0000
Mg 0.3219 0.8219 0.0000
Mg 0.6781 0.1781 0.0000
Mg 0.8219 0.6781 0.0000
Co 0.1281 0.6281 0.5000
Co 0.3719 0.1281 0.5000
Co 0.6281 0.8719 0.5000
Co 0.8719 0.3719 0.5000
W 0.0000 0.0000 0.5000
W 0.5000 0.5000 0.5000

Values from the calculation:
DOS(E_F)	8.5	states/eV/cell
size of the total moment	0.000	μB per formula unit
space group	P4/mbm, No. 127
formation energy	5.2	kcal/mol of atoms


Entry 3:
An optimized crystal structure of Mg2CoW2. Source: Alexandria, functional PBE.

Lattice parameters (Å, degrees): 7.4562 7.4562 7.4562 152.71 152.71 38.98
Sites, in units of the cell vectors:
Mg 0.2500 0.7500 0.5000
Mg 0.7500 0.2500 0.5000
Co 0.0000 0.0000 0.0000
W 0.4172 0.4172 0.0000
W 0.5828 0.5828 0.0000

Values from the calculation:
DOS(E_F)	4.6	states/eV/cell
size of the total moment	1.628	μB per formula unit
space group	I4/mmm, No. 139
formation energy	25.9	kcal/mol of atoms


Entry 4:
An optimized crystal structure of MgCo2W2. Source: Alexandria, functional PBE.

Lattice parameters (Å, degrees): 7.2454 7.2454 2.7398 90.00 90.00 90.00
Sites, in units of the cell vectors:
Mg 0.0000 0.0000 0.0000
Mg 0.5000 0.5000 0.0000
Co 0.1253 0.3747 0.0000
Co 0.3747 0.8747 0.0000
Co 0.6253 0.1253 0.0000
Co 0.8747 0.6253 0.0000
W 0.1664 0.6664 0.5000
W 0.3336 0.1664 0.5000
W 0.6664 0.8336 0.5000
W 0.8336 0.3336 0.5000

Values from the calculation:
DOS(E_F)	5.9	states/eV/cell
size of the total moment	0.000	μB per formula unit
space group	P4/mbm, No. 127
formation energy	4.3	kcal/mol of atoms